Density functional theory data (PBE+U) for CsScCoO3 after structural relaxation.

Output
The total energy comes out at -77.83 eV/cell.

The structure in extended XYZ format:
```
12
Lattice="7.581 0.000 0.000 0.000 3.510 0.000 -2.653 0.000 8.322" Properties=species:S:1:pos:R:3 pbc="T T T"
Cs -0.440 0.877 2.381
Cs 5.368 2.632 5.941
Sc 1.660 2.632 5.201
Sc 3.268 0.877 3.121
Co 0.703 0.877 7.322
Co 4.225 2.632 1.000
O 0.335 0.877 5.419
O 1.851 2.632 3.201
O 1.236 2.632 7.395
O 3.691 0.877 0.928
O 3.077 0.877 5.122
O 4.593 2.632 2.903
```